The following is a DFT calculation (GGA-PBE) of a relaxed structure of TmCdAgF6.

Lattice parameters (Å, degrees): 5.9922 5.9922 9.7807 90.00 90.00 120.00
Space group P-31c (No. 163)
Symmetry-distinct sites (fractional):
Tm: 0.3333 0.6667 0.2500 [2 per cell]
Cd: 0.3333 0.6667 0.7500 [2 per cell]
Ag: 0.0000 0.0000 0.0000 [2 per cell]
F: 0.0146 0.3694 0.1359 [12 per cell]

E_form (uncorrected)   -2.74 eV/atom
Uncorrected energy   -88.330 eV for the cell shown
Fermi-level density of states   0.0 states/eV/cell